DFT (GGA-PBE) results for Er3HfTl4Te8 after structural relaxation.

Geometry as POSCAR:
```
Er3HfTl4Te8
1.0
-8.106 0.543 3.067
-3.446 -2.328 -8.695
5.639 -5.546 3.590
Tl Te Er Hf
4 8 3 1
Direct
0.500 0.000 0.500
0.000 0.000 0.500
0.000 0.000 0.000
0.500 0.000 0.000
0.230 0.708 0.459
0.262 0.286 0.524
0.230 0.708 0.979
0.738 0.714 0.476
0.251 0.292 0.021
0.770 0.292 0.021
0.770 0.292 0.541
0.749 0.708 0.979
0.000 0.500 0.500
0.500 0.500 0.000
0.500 0.500 0.500
0.000 0.500 0.000
```

Computed properties:
The formation energy (no corrections) comes out at -0.90 eV per atom.

***

DFT (GGA-PBE) results for Rb2PrPbS4 after structural relaxation.

Geometry as POSCAR:
```
Rb2PrPbS4
1.0
-5.452 -5.885 -3.540
3.738 -6.333 4.776
-3.232 7.029 3.950
Rb S Pb Pr
4 8 2 2
Direct
0.500 0.000 0.500
0.000 0.000 0.500
0.500 0.000 0.000
0.500 0.500 0.000
0.203 0.731 0.967
0.766 0.734 0.531
0.797 0.269 0.033
0.769 0.297 0.533
0.766 0.734 0.969
0.231 0.703 0.467
0.234 0.266 0.031
0.234 0.266 0.469
0.500 0.500 0.500
0.000 0.000 0.000
0.000 0.500 0.500
0.000 0.500 0.000
```

Computed properties:
The formation energy (no corrections) comes out at -1.18 eV per atom.

***

DFT (GGA-PBE) results for Zn4FeCu after structural relaxation.

Geometry as POSCAR:
```
Zn4FeCu
1.0
-0.259 4.659 -0.826
-1.335 1.729 -5.079
-6.155 -4.885 3.754
Fe Zn Cu
2 8 2
Direct
0.250 0.250 0.000
0.750 0.750 0.000
0.251 0.582 0.330
0.987 0.173 0.164
0.487 0.673 0.164
0.751 0.082 0.330
0.513 0.327 0.836
0.013 0.827 0.836
0.749 0.418 0.670
0.249 0.918 0.670
0.000 0.500 0.500
0.500 0.000 0.500
```

Computed properties:
Its formation energy is 0.017 eV/atom. For the energy above the most stable polymorph in this dataset, the calculation gives 0.0064 eV/atom.

***

DFT (GGA-PBE) results for Pr2AlNi6 after structural relaxation.

Geometry as POSCAR:
```
Pr2AlNi6
1.0
5.693 -0.031 -0.018
0.031 5.369 0.006
0.031 2.681 4.652
Ni Al Pr
6 1 2
Direct
0.330 0.829 0.829
0.670 0.659 0.171
0.330 0.341 0.829
0.330 0.829 0.341
0.670 0.171 0.171
0.670 0.171 0.659
0.000 0.000 0.000
0.183 0.333 0.333
0.817 0.667 0.667
```

Computed properties:
Its formation energy is -0.303 eV/atom.

***

DFT (GGA-PBE) results for Pr3Y4Er after structural relaxation.

Geometry as POSCAR:
```
Pr3Y4Er
1.0
-2.633 -0.186 -2.310
7.772 -0.010 -8.856
-2.311 -6.470 5.818
Er Y Pr
1 4 3
Direct
0.500 0.000 0.000
0.366 0.111 0.732
0.634 0.380 0.268
0.634 0.889 0.268
0.366 0.620 0.732
0.243 0.243 0.486
0.757 0.757 0.514
0.000 0.500 0.000
```

Computed properties:
Its formation energy is 0.129 eV/atom. For the energy above the most stable polymorph in this dataset, the calculation gives 0.1271 eV/atom.

***

DFT (GGA-PBE) results for Sr2PdF after structural relaxation.

Geometry as POSCAR:
```
Sr2PdF
1.0
-3.093 -1.779 -1.227
-2.440 -1.466 2.476
-6.348 6.651 0.557
F Sr Pd
1 2 1
Direct
0.500 0.500 0.500
0.898 0.898 0.307
0.102 0.102 0.693
0.000 0.000 0.000
```

Computed properties:
The formation energy (no corrections) comes out at -0.97 eV per atom. For the energy above the most stable polymorph in this dataset, the calculation gives 0.6118 eV/atom.

***

DFT (GGA-PBE) results for Be2InPb after structural relaxation.

Geometry as POSCAR:
```
Be2InPb
1.0
-3.017 2.003 -2.050
-3.989 -0.735 0.929
-2.152 4.589 3.516
Be In Pb
2 1 1
Direct
0.080 0.080 0.759
0.420 0.420 0.741
0.750 0.750 0.750
0.250 0.250 0.250
```

Computed properties:
Its formation energy is 0.463 eV/atom. For the energy above the most stable polymorph in this dataset, the calculation gives 0.1165 eV/atom.

***

DFT (GGA-PBE) results for Rb4LiCe3O8 after structural relaxation.

Geometry as POSCAR:
```
Rb4LiCe3O8
1.0
7.193 0.000 0.000
0.000 7.722 0.359
-3.597 -3.587 5.094
Ce O Rb Li
3 8 4 1
Direct
0.500 0.500 0.000
0.000 0.500 0.500
0.500 0.500 0.500
0.300 0.325 0.063
0.272 0.316 0.544
0.728 0.684 0.456
0.700 0.675 0.937
0.762 0.324 0.524
0.762 0.325 0.063
0.238 0.676 0.476
0.238 0.675 0.937
0.000 0.000 0.000
0.500 0.000 0.000
0.500 0.000 0.500
0.000 0.000 0.500
0.000 0.500 0.000
```

Computed properties:
The formation energy (no corrections) comes out at -2.44 eV per atom.

***

- Number 6 is which compound?
  Sr2PdF